A geometry-optimized CaHo2Th structure, computed with GGA-PBE. Values from VASP.

Cell and atoms, written as Quantum ESPRESSO input:
```
&SYSTEM
  ibrav = 0, nat = 4, ntyp = 3
/
ATOMIC_SPECIES
Ca 40.08 Ca.upf
Ho 164.93 Ho.upf
Th 232.04 Th.upf
CELL_PARAMETERS angstrom
1.780 1.028 12.373
-1.780 1.028 12.373
0.000 -2.056 12.373
ATOMIC_POSITIONS crystal
Ca 0.000 0.000 0.000
Ho 0.092 0.092 0.092
Ho 0.908 0.908 0.908
Th 0.500 0.500 0.500
```

## Properties
Calculated formation energy: 0.143 eV/atom
Calculated density: 7.4 Mg/m³
E_tot: -18.0 eV per cell
Space group: R-3m, No. 166
Distance to the lowest polymorph of the same formula: 0.099 eV per atom

***

A geometry-optimized CaHo2Th structure, computed with GGA-PBE. Values from VASP.

Cell and atoms, written as Quantum ESPRESSO input:
```
&SYSTEM
  ibrav = 0, nat = 4, ntyp = 3
/
ATOMIC_SPECIES
Ca 40.08 Ca.upf
Ho 164.93 Ho.upf
Th 232.04 Th.upf
CELL_PARAMETERS angstrom
1.803 1.041 11.851
-1.803 1.041 11.851
0.000 -2.082 11.851
ATOMIC_POSITIONS crystal
Ca 0.000 0.000 0.000
Ho 0.245 0.245 0.245
Ho 0.423 0.423 0.423
Th 0.834 0.834 0.834
```

## Properties
Calculated formation energy: 0.044 eV/atom
Calculated density: 7.5 Mg/m³
E_tot: -18.4 eV per cell
Space group: R3m, No. 160
Distance to the lowest polymorph of the same formula: 0.000 eV per atom

***

A geometry-optimized CaHo2Ti structure, computed with GGA-PBE. Values from VASP.

Cell and atoms, written as Quantum ESPRESSO input:
```
&SYSTEM
  ibrav = 0, nat = 4, ntyp = 3
/
ATOMIC_SPECIES
Ca 40.08 Ca.upf
Ho 164.93 Ho.upf
Ti 47.87 Ti.upf
CELL_PARAMETERS angstrom
3.534 0.000 0.000
0.000 3.534 0.000
0.000 0.000 9.451
ATOMIC_POSITIONS crystal
Ca 0.000 0.000 0.000
Ho 0.500 0.500 0.301
Ho 0.500 0.500 0.699
Ti 0.000 0.000 0.500
```

## Properties
Calculated formation energy: 0.171 eV/atom
Calculated density: 5.9 Mg/m³
E_tot: -18.4 eV per cell
Space group: P4/mmm, No. 123
Distance to the lowest polymorph of the same formula: 0.000 eV per atom

***

A geometry-optimized CaHo2Ti structure, computed with GGA-PBE. Values from VASP.

Cell and atoms, written as Quantum ESPRESSO input:
```
&SYSTEM
  ibrav = 0, nat = 4, ntyp = 3
/
ATOMIC_SPECIES
Ca 40.08 Ca.upf
Ho 164.93 Ho.upf
Ti 47.87 Ti.upf
CELL_PARAMETERS angstrom
1.686 0.973 12.071
-1.686 0.973 12.071
0.000 -1.946 12.071
ATOMIC_POSITIONS crystal
Ca 0.000 0.000 0.000
Ho 0.420 0.420 0.420
Ho 0.580 0.580 0.580
Ti 0.500 0.500 0.500
```

## Properties
Calculated formation energy: 0.531 eV/atom
Calculated density: 5.8 Mg/m³
E_tot: -16.9 eV per cell
Space group: R-3m, No. 166
Distance to the lowest polymorph of the same formula: 0.361 eV per atom

***

A geometry-optimized Ca2HoTl structure, computed with GGA-PBE. Values from VASP.

Cell and atoms, written as Quantum ESPRESSO input:
```
&SYSTEM
  ibrav = 0, nat = 4, ntyp = 3
/
ATOMIC_SPECIES
Ca 40.08 Ca.upf
Ho 164.93 Ho.upf
Tl 204.38 Tl.upf
CELL_PARAMETERS angstrom
1.829 1.056 12.542
-1.829 1.056 12.542
0.000 -2.111 12.542
ATOMIC_POSITIONS crystal
Ca 0.087 0.087 0.087
Ca 0.913 0.913 0.913
Ho 0.500 0.500 0.500
Tl 0.000 0.000 0.000
```

## Properties
Calculated formation energy: 0.100 eV/atom
Calculated density: 5.1 Mg/m³
E_tot: -10.5 eV per cell
Space group: R-3m, No. 166
Distance to the lowest polymorph of the same formula: 0.264 eV per atom

***

A geometry-optimized CaHoTl2 structure, computed with GGA-PBE. Values from VASP.

Cell and atoms, written as Quantum ESPRESSO input:
```
&SYSTEM
  ibrav = 0, nat = 4, ntyp = 3
/
ATOMIC_SPECIES
Ca 40.08 Ca.upf
Ho 164.93 Ho.upf
Tl 204.38 Tl.upf
CELL_PARAMETERS angstrom
3.815 0.000 0.000
0.000 3.815 0.000
0.000 0.000 7.715
ATOMIC_POSITIONS crystal
Ca 0.000 0.000 0.000
Ho 0.000 0.000 0.500
Tl 0.500 0.500 0.257
Tl 0.500 0.500 0.743
```

## Properties
Calculated formation energy: -0.392 eV/atom
Calculated density: 9.1 Mg/m³
E_tot: -12.9 eV per cell
Space group: P4/mmm, No. 123

***

Please write out number 2 again, unchanged.
A geometry-optimized CaHo2Th structure, computed with GGA-PBE. Values from VASP.

Cell and atoms, written as Quantum ESPRESSO input:
```
&SYSTEM
  ibrav = 0, nat = 4, ntyp = 3
/
ATOMIC_SPECIES
Ca 40.08 Ca.upf
Ho 164.93 Ho.upf
Th 232.04 Th.upf
CELL_PARAMETERS angstrom
1.803 1.041 11.851
-1.803 1.041 11.851
0.000 -2.082 11.851
ATOMIC_POSITIONS crystal
Ca 0.000 0.000 0.000
Ho 0.245 0.245 0.245
Ho 0.423 0.423 0.423
Th 0.834 0.834 0.834
```

## Properties
Calculated formation energy: 0.044 eV/atom
Calculated density: 7.5 Mg/m³
E_tot: -18.4 eV per cell
Space group: R3m, No. 160
Distance to the lowest polymorph of the same formula: 0.000 eV per atom